No. 1
A plane-wave DFT calculation with GGA-PBE was carried out for crystalline BaHfS2 at its relaxed geometry.

a b c (Å): 8.627 8.627 8.627
angles (deg): 29.76 29.76 29.76
Element x y z (fractional)
S 0.904 0.904 0.904
S 0.096 0.096 0.096
Hf 0.000 0.000 0.000
Ba 0.500 0.500 0.500

Summary:
**Formation energy from raw total energies**: -987 meV/atom
**Crystal system**: trigonal
**Energy relative to the lowest polymorph listed for this composition**: 245 meV/atom

=====

No. 2
A plane-wave DFT calculation with GGA-PBE was carried out for crystalline SrY3Pt8 at its relaxed geometry.

a b c (Å): 5.489 5.489 8.945
angles (deg): 90.00 90.00 120.00
Element x y z (fractional)
Sr 0.000 0.000 0.564
Pt 0.671 0.835 0.246
Pt 0.333 0.667 0.500
Pt 0.503 0.497 0.755
Pt 0.165 0.835 0.246
Pt 0.995 0.497 0.755
Pt 0.333 0.667 0.000
Pt 0.503 0.005 0.755
Pt 0.165 0.329 0.246
Y 0.667 0.333 0.435
Y 0.000 0.000 0.933
Y 0.667 0.333 0.066

Summary:
**Crystal system**: trigonal
**ΔE_f**: -1134 kJ/mol of formula units

=====

No. 3
A plane-wave DFT calculation with GGA-PBE was carried out for crystalline In2BiP2 at its relaxed geometry.

a b c (Å): 3.405 3.405 10.781
angles (deg): 80.91 80.91 90.00
Element x y z (fractional)
P 0.250 0.750 0.500
P 0.750 0.250 0.500
Bi 0.000 0.000 0.000
In 0.624 0.624 0.753
In 0.376 0.376 0.247

Summary:
**Crystal system**: tetragonal
**Energy relative to the lowest polymorph listed for this composition**: 0 meV/atom
**ΔE_f**: 82 kJ/mol of formula units

=====

No. 4
A plane-wave DFT calculation with GGA-PBE was carried out for crystalline LiY6Ir5 at its relaxed geometry.

a b c (Å): 4.800 7.106 7.661
angles (deg): 90.00 71.74 90.00
Element x y z (fractional)
Ir 0.340 0.000 0.320
Ir 0.331 0.500 0.339
Ir 0.669 0.500 0.661
Ir 0.000 0.500 0.000
Ir 0.660 0.000 0.680
Y 0.500 0.741 0.000
Y 0.830 0.748 0.340
Y 0.830 0.252 0.340
Y 0.170 0.748 0.660
Y 0.500 0.259 0.000
Y 0.170 0.252 0.660
Li 0.000 0.000 0.000

Summary:
**Crystal system**: orthorhombic
**ΔE_f**: -815 kJ/mol of formula units

=====

No. 5
A plane-wave DFT calculation with GGA-PBE was carried out for crystalline SbPd3I at its relaxed geometry.

a b c (Å): 5.046 5.046 5.046
angles (deg): 90.00 90.00 90.00
Element x y z (fractional)
I 0.500 0.500 0.500
Pd 0.000 0.500 0.000
Pd 0.500 0.000 0.000
Pd 0.000 0.000 0.500
Sb 0.000 0.000 0.000

Summary:
**Formation energy from raw total energies**: 374 meV/atom
**Crystal system**: cubic
**Energy relative to the lowest polymorph listed for this composition**: 667 meV/atom

=====

No. 6
A plane-wave DFT calculation with GGA-PBE was carried out for crystalline TaCrRe2 at its relaxed geometry.

a b c (Å): 5.152 5.152 4.389
angles (deg): 64.72 64.72 35.14
Element x y z (fractional)
Re 0.997 0.997 0.003
Re 0.750 0.750 0.750
Ta 0.504 0.504 0.496
Cr 0.250 0.250 0.250

Summary:
**Crystal system**: orthorhombic
**ΔE_f**: -25 kJ/mol of formula units

=====

No. 7
A plane-wave DFT calculation with GGA-PBE was carried out for crystalline HfMg2Hg2 at its relaxed geometry.

a b c (Å): 4.101 4.101 7.090
angles (deg): 73.19 73.19 90.00
Element x y z (fractional)
Mg 0.250 0.750 0.500
Mg 0.750 0.250 0.500
Hf 0.000 0.000 0.000
Hg 0.606 0.606 0.789
Hg 0.394 0.394 0.211

Summary:
**Crystal system**: tetragonal
**Energy relative to the lowest polymorph listed for this composition**: 154 meV/atom
**ΔE_f**: 59 kJ/mol of formula units

=====

No. 8
A plane-wave DFT calculation with GGA-PBE was carried out for crystalline NdErAl6 at its relaxed geometry.

a b c (Å): 4.661 6.336 6.336
angles (deg): 119.97 90.00 90.00
Element x y z (fractional)
Al 0.000 0.607 0.964
Al 0.000 0.607 0.393
Al 0.500 0.896 0.104
Al 0.500 0.896 0.542
Al 0.000 0.036 0.393
Al 0.500 0.458 0.104
Er 0.000 0.083 0.917
Nd 0.500 0.416 0.584

Summary:
**Crystal system**: hexagonal
**ΔE_f**: -326 kJ/mol of formula units

=====

No. 9
A plane-wave DFT calculation with GGA-PBE was carried out for crystalline LaDyTm2 at its relaxed geometry.

a b c (Å): 4.092 4.092 7.793
angles (deg): 90.00 90.00 90.00
Element x y z (fractional)
Dy 0.500 0.500 0.000
La 0.500 0.500 0.500
Tm 0.000 0.000 0.763
Tm 0.000 0.000 0.237

Summary:
**Crystal system**: tetragonal
**Energy relative to the lowest polymorph listed for this composition**: 81 meV/atom
**ΔE_f**: 36 kJ/mol of formula units

=====

No. 10
A plane-wave DFT calculation with GGA-PBE was carried out for crystalline Mg2Zn2Ag at its relaxed geometry.

a b c (Å): 7.890 7.890 3.034
angles (deg): 90.00 90.00 90.00
Element x y z (fractional)
Zn 0.881 0.381 0.500
Zn 0.381 0.119 0.500
Zn 0.119 0.619 0.500
Zn 0.619 0.881 0.500
Mg 0.824 0.676 0.000
Mg 0.676 0.176 0.000
Mg 0.176 0.324 0.000
Mg 0.324 0.824 0.000
Ag 0.500 0.500 0.000
Ag 0.000 0.000 0.000

Summary:
**Crystal system**: tetragonal
**Energy relative to the lowest polymorph listed for this composition**: 174 meV/atom
**ΔE_f**: 28 kJ/mol of formula units

=====

No. 11
A plane-wave DFT calculation with GGA-PBE was carried out for crystalline PmSmHo2N4 at its relaxed geometry.

a b c (Å): 3.526 6.104 6.109
angles (deg): 109.42 90.00 90.00
Element x y z (fractional)
N 0.000 0.248 0.741
N 0.500 0.746 0.741
N 0.000 0.752 0.259
N 0.500 0.254 0.259
Sm 0.500 0.500 0.000
Ho 0.500 0.000 0.500
Ho 0.000 0.500 0.500
Pm 0.000 0.000 0.000

Summary:
**Formation energy from raw total energies**: -1587 meV/atom
**Crystal system**: monoclinic

=====

No. 12
A plane-wave DFT calculation with GGA-PBE was carried out for crystalline LiSm6In2 at its relaxed geometry.

a b c (Å): 5.147 7.671 8.989
angles (deg): 115.26 106.47 90.00
Element x y z (fractional)
Sm 0.164 0.915 0.328
Sm 0.836 0.587 0.672
Sm 0.836 0.085 0.672
Sm 0.500 0.751 0.000
Sm 0.500 0.249 0.000
Sm 0.164 0.413 0.328
In 0.666 0.666 0.333
In 0.334 0.334 0.667
Li 0.000 0.000 0.000

Summary:
**Crystal system**: monoclinic
**ΔE_f**: 88 kJ/mol of formula units